Compound: Rb2TaHI6
Source: Alexandria via LeMat-Bulk
Functional: PBE
Structure: optimized geometry

abc: 8.242 8.242 8.242
angles: 60.00 60.00 60.00
Sites, in units of the cell vectors:
Rb1 0.250 0.250 0.250
Rb2 0.750 0.750 0.750
Ta1 0.000 0.000 0.000
H1 0.500 0.500 0.500
I1 0.241 0.241 0.759
I2 0.241 0.759 0.241
I3 0.241 0.759 0.759
I4 0.759 0.241 0.241
I5 0.759 0.241 0.759
I6 0.759 0.759 0.241

## Properties
Energy (Ry/atom): -0.2366
M_tot (μB/f.u.): 2.00
V (Å³/f.u.): 395.9